VASP calculation (PBE-GGA) on NdDy2Y6Tm after structural relaxation.

Summary:
energy of formation from the pure elements: 0.121 eV/atom
total moment: 0.0000 μB per atom

a b c (Å): 9.1111 14.9659 9.7139
angles (deg): 90.00 99.32 90.00
Space group C2/c (No. 15)
One atom of each set of equivalent atoms:
1 Nd 0.0000 0.0944 0.2500 (multiplicity 4)
2 Dy 0.2409 0.4501 0.0450 (multiplicity 8)
3 Y 0.0642 0.3160 0.4441 (multiplicity 8)
4 Y 0.1020 0.1042 0.6197 (multiplicity 8)
5 Y 0.2005 0.2763 0.8173 (multiplicity 8)
6 Tm 0.0000 0.4775 0.7500 (multiplicity 4)



VASP calculation (PBE-GGA) on Pr8BiRu2 after structural relaxation.

Summary:
energy of formation from the pure elements: -0.195 eV/atom
total moment: 0.0000 μB per atom

a b c (Å): 8.8973 13.8843 5.7725
angles (deg): 90.00 104.18 90.00
Space group C2/m (No. 12)
One atom of each set of equivalent atoms:
1 Pr 0.0000 0.2489 0.0000 (multiplicity 4)
2 Pr 0.1019 0.5000 0.7983 (multiplicity 4)
3 Pr 0.2023 0.1273 0.5598 (multiplicity 8)
4 Bi 0.0000 0.0000 0.0000 (multiplicity 2)
5 Ru 0.0000 0.2961 0.5000 (multiplicity 4)